Sc5Pb3 at its PBEsol-relaxed geometry. Source: Alexandria, functional SCAN.

The structure in POSCAR format:
```
Sc5Pb3
1.0
-5.0136 1.9616 -2.8337
0.4095 -6.5661 -5.2698
-4.3247 -0.6430 7.2066
Sc Pb
10 6
direct
0.2500 0.7654 0.0000
0.7500 0.0000 0.2346
0.2500 0.2346 0.2346
0.5000 0.6667 0.3333
0.2500 0.0000 0.7654
0.0000 0.6667 0.3333
0.7500 0.7654 0.7654
0.5000 0.3333 0.6667
0.0000 0.3333 0.6667
0.7500 0.2346 0.0000
0.2500 0.3940 0.0000
0.7500 0.3940 0.3940
0.2500 0.0000 0.3940
0.7500 0.6060 0.0000
0.2500 0.6060 0.6060
0.7500 0.0000 0.6060
```

## Properties
N(E_F)   8.80 states/eV/cell
SG   P6_3/mcm
Crystal system   hexagonal
Polymorph energy (0 for the lowest one)   0 meV per atom

---

HfAl2AsW at its PBEsol-relaxed geometry. Source: Alexandria, functional SCAN.

The structure in POSCAR format:
```
HfAl2AsW
1.0
-2.9134 -2.7877 -2.5451
4.0194 -2.4733 -1.8920
-0.2140 -3.3014 3.8611
Al W As Hf
2 1 1 1
direct
0.0000 0.5000 0.0000
0.0000 0.0000 0.5000
0.5000 0.0000 0.0000
0.5000 0.5000 0.5000
0.0000 0.0000 0.0000
```

## Properties
N(E_F)   3.91 states/eV/cell
SG   P4/mmm
Uncorrected energy   -159.5 eV/cell
Crystal system   tetragonal

---

FeSiSe2 at its PBEsol-relaxed geometry. Source: Alexandria, functional SCAN.

The structure in POSCAR format:
```
FeSiSe2
1.0
-0.3221 3.3527 -0.3522
-2.2880 0.0426 2.4979
4.5152 0.8661 4.1155
Se Si Fe
2 1 1
direct
0.5000 0.6245 0.3379
0.0000 0.1255 0.9121
0.0000 0.6250 0.6250
0.5000 0.1250 0.6249
```

## Properties
N(E_F)   1.19 states/eV/cell
SG   P-4m2
Crystal system   tetragonal
Formation energy from raw total energies   -42 meV/atom

---

La2ZnGa at its PBEsol-relaxed geometry. Source: Alexandria, functional SCAN.

The structure in POSCAR format:
```
La2ZnGa
1.0
-3.9593 0.0545 -3.4134
-4.6518 -1.9594 1.3610
-4.0632 3.2004 0.7607
La Ga Zn
2 1 1
direct
0.7500 0.7500 0.7500
0.2500 0.2500 0.2500
0.5000 0.5000 0.5000
0.0000 0.0000 0.0000
```

## Properties
N(E_F)   3.93 states/eV/cell
SG   Fm-3m
Uncorrected energy   -118.2 eV/cell
Crystal system   cubic

---

NaBe3Re at its PBEsol-relaxed geometry. Source: Alexandria, functional SCAN.

The structure in POSCAR format:
```
NaBe3Re
1.0
-2.4822 3.4120 1.1076
-2.9408 -1.1641 -3.0044
-2.0544 -2.4562 2.9626
Na Be Re
1 3 1
direct
0.5000 0.5000 0.5000
0.0000 0.5000 0.0000
0.5000 0.0000 0.0000
0.0000 0.0000 0.5000
0.0000 0.0000 0.0000
```

## Properties
N(E_F)   2.62 states/eV/cell
SG   Pm-3m
Uncorrected energy   -84.0 eV/cell
Crystal system   cubic

---

Tl2CdBr at its PBEsol-relaxed geometry. Source: Alexandria, functional SCAN.

The structure in POSCAR format:
```
Tl2CdBr
1.0
3.6703 0.0000 0.0000
0.0000 5.4062 0.0000
-1.8351 -2.7031 5.4735
Cd Tl Br
1 2 1
direct
0.2468 0.7468 0.4936
0.7528 0.2528 0.5057
0.9861 0.9861 0.9723
0.5142 0.5142 0.0284
```

## Properties
N(E_F)   1.09 states/eV/cell
SG   Imm2
Crystal system   orthorhombic
Polymorph energy (0 for the lowest one)   0 meV per atom
Formation energy from raw total energies   -263 meV/atom